Compound: PmSi3RuRh
Source: the Alexandria database
Functional: GGA-PBE
Structure: optimized geometry

Unit cell a=6.266 b=12.584 c=5.826 alpha=90.00 beta=90.00 gamma=90.00
Space group Cmcm (No. 63)
Asymmetric unit:
Pm (0.000, 0.217, 0.250) (multiplicity 4)
Si (0.000, 0.212, 0.750) (multiplicity 4)
Si (0.203, 0.500, 0.000) (multiplicity 8)
Ru (0.000, 0.035, 0.750) (multiplicity 4)
Rh (0.000, 0.388, 0.750) (multiplicity 4)

## Properties
density of states at the Fermi level	2.8	states/eV/f.u.
crystal system	orthorhombic
formation energy (no corrections)	-3.20	eV per formula unit

=====

Compound: PmSi2RuRh
Source: the Alexandria database
Functional: GGA-PBE
Structure: optimized geometry

Unit cell a=4.156 b=4.156 c=9.922 alpha=90.00 beta=90.00 gamma=90.00
Space group I-4m2 (No. 119)
Asymmetric unit:
Pm (0.000, 0.000, 0.000) (multiplicity 2)
Si (0.000, 0.000, 0.371) (multiplicity 4)
Ru (0.000, 0.500, 0.750) (multiplicity 2)
Rh (0.000, 0.500, 0.250) (multiplicity 2)

## Properties
density of states at the Fermi level	1.9	states/eV/f.u.
crystal system	tetragonal
formation energy (no corrections)	-5.10	eV per formula unit

=====

Compound: PmSmRuRh
Source: the Alexandria database
Functional: GGA-PBE
Structure: optimized geometry

Unit cell a=6.990 b=6.990 c=6.990 alpha=90.00 beta=90.00 gamma=90.00
Space group F-43m (No. 216)
Asymmetric unit:
Pm (0.000, 0.000, 0.000) (multiplicity 4)
Sm (0.000, 0.000, 0.500) (multiplicity 4)
Ru (0.250, 0.250, 0.750) (multiplicity 4)
Rh (0.250, 0.250, 0.250) (multiplicity 4)

## Properties
density of states at the Fermi level	3.0	states/eV/f.u.
crystal system	cubic
ΔH_f (0 K)	-0.43	eV per atom
polymorph energy (0 for the lowest one)	22	meV/atom

=====

Compound: PmSmRuRh
Source: the Alexandria database
Functional: GGA-PBE
Structure: optimized geometry

Unit cell a=3.496 b=3.496 c=6.967 alpha=90.00 beta=90.00 gamma=90.00
Space group P4mm (No. 99)
Asymmetric unit:
Pm (0.000, 0.000, 0.000) (multiplicity 1)
Sm (0.000, 0.000, 0.493) (multiplicity 1)
Ru (0.500, 0.500, 0.248) (multiplicity 1)
Rh (0.500, 0.500, 0.745) (multiplicity 1)

## Properties
density of states at the Fermi level	1.4	states/eV/f.u.
crystal system	tetragonal
ΔH_f (0 K)	-0.45	eV per atom
polymorph energy (0 for the lowest one)	0	meV/atom

=====

Compound: PmSn4RuRh2
Source: the Alexandria database
Functional: GGA-PBE
Structure: optimized geometry

Unit cell a=4.5055 b=4.5055 c=28.0943 alpha=90.00 beta=90.00 gamma=120.00
Space group R-3m (No. 166, hexagonal axes)
Asymmetric unit:
Pm (0.0000, 0.0000, 0.0000) (multiplicity 3)
Sn (0.0000, 0.0000, 0.1311) (multiplicity 6)
Sn (0.0000, 0.0000, 0.3970) (multiplicity 6)
Ru (0.0000, 0.0000, 0.5000) (multiplicity 3)
Rh (0.0000, 0.0000, 0.2314) (multiplicity 6)

## Properties
density of states at the Fermi level	5.0	states/eV/f.u.
crystal system	trigonal
ΔH_f (0 K)	-0.44	eV per atom

=====

Compound: PmSnRuRh
Source: the Alexandria database
Functional: GGA-PBE
Structure: optimized geometry

Unit cell a=6.715 b=6.715 c=6.715 alpha=90.00 beta=90.00 gamma=90.00
Space group F-43m (No. 216)
Asymmetric unit:
Pm (0.000, 0.000, 0.000) (multiplicity 4)
Sn (0.000, 0.000, 0.500) (multiplicity 4)
Ru (0.250, 0.250, 0.750) (multiplicity 4)
Rh (0.250, 0.250, 0.250) (multiplicity 4)

## Properties
density of states at the Fermi level	1.3	states/eV/f.u.
crystal system	cubic
ΔH_f (0 K)	-0.49	eV per atom

=====

Compound: PmTiRuRh
Source: the Alexandria database
Functional: GGA-PBE
Structure: optimized geometry

Unit cell a=6.603 b=6.603 c=6.603 alpha=90.00 beta=90.00 gamma=90.00
Space group F-43m (No. 216)
Asymmetric unit:
Pm (0.000, 0.000, 0.000) (multiplicity 4)
Ti (0.000, 0.000, 0.500) (multiplicity 4)
Ru (0.250, 0.250, 0.750) (multiplicity 4)
Rh (0.250, 0.250, 0.250) (multiplicity 4)

## Properties
density of states at the Fermi level	3.7	states/eV/f.u.
crystal system	cubic
ΔH_f (0 K)	-0.39	eV per atom

=====

Compound: Pm5Tl2RuRh2
Source: the Alexandria database
Functional: GGA-PBE
Structure: optimized geometry

Unit cell a=11.918 b=11.918 c=3.608 alpha=90.00 beta=90.00 gamma=90.00
Space group P4/mbm (No. 127)
Asymmetric unit:
Pm (0.000, 0.500, 0.000) (multiplicity 2)
Pm (0.067, 0.194, 0.000) (multiplicity 8)
Tl (0.178, 0.678, 0.500) (multiplicity 4)
Ru (0.000, 0.000, 0.500) (multiplicity 2)
Rh (0.135, 0.365, 0.500) (multiplicity 4)

## Properties
density of states at the Fermi level	6.0	states/eV/f.u.
crystal system	tetragonal
ΔH_f (0 K)	-0.43	eV per atom

=====

Compound: PmTmRuRh
Source: the Alexandria database
Functional: GGA-PBE
Structure: optimized geometry

Unit cell a=3.433 b=3.433 c=6.859 alpha=90.00 beta=90.00 gamma=90.00
Space group P4mm (No. 99)
Asymmetric unit:
Pm (0.000, 0.000, 0.000) (multiplicity 1)
Tm (0.000, 0.000, 0.508) (multiplicity 1)
Ru (0.500, 0.500, 0.745) (multiplicity 1)
Rh (0.500, 0.500, 0.266) (multiplicity 1)

## Properties
density of states at the Fermi level	1.7	states/eV/f.u.
crystal system	tetragonal
ΔH_f (0 K)	-0.57	eV per atom
polymorph energy (0 for the lowest one)	0	meV/atom

=====

Compound: PmTmRuRh
Source: the Alexandria database
Functional: GGA-PBE
Structure: optimized geometry

Unit cell a=6.872 b=6.872 c=6.872 alpha=90.00 beta=90.00 gamma=90.00
Space group F-43m (No. 216)
Asymmetric unit:
Pm (0.000, 0.000, 0.000) (multiplicity 4)
Tm (0.000, 0.000, 0.500) (multiplicity 4)
Ru (0.250, 0.250, 0.750) (multiplicity 4)
Rh (0.250, 0.250, 0.250) (multiplicity 4)

## Properties
density of states at the Fermi level	2.6	states/eV/f.u.
crystal system	cubic
ΔH_f (0 K)	-0.55	eV per atom
polymorph energy (0 for the lowest one)	19	meV/atom

=====

Compound: PmURuRh
Source: the Alexandria database
Functional: GGA-PBE
Structure: optimized geometry

Unit cell a=6.889 b=6.889 c=6.889 alpha=90.00 beta=90.00 gamma=90.00
Space group F-43m (No. 216)
Asymmetric unit:
Pm (0.000, 0.000, 0.000) (multiplicity 4)
U (0.000, 0.000, 0.500) (multiplicity 4)
Ru (0.250, 0.250, 0.750) (multiplicity 4)
Rh (0.250, 0.250, 0.250) (multiplicity 4)

## Properties
density of states at the Fermi level	7.4	states/eV/f.u.
crystal system	cubic
ΔH_f (0 K)	-0.26	eV per atom

=====

Compound: PmYRuRh
Source: the Alexandria database
Functional: GGA-PBE
Structure: optimized geometry

Unit cell a=3.464 b=3.464 c=6.909 alpha=90.00 beta=90.00 gamma=90.00
Space group P4mm (No. 99)
Asymmetric unit:
Pm (0.000, 0.000, 0.000) (multiplicity 1)
Y (0.000, 0.000, 0.492) (multiplicity 1)
Ru (0.500, 0.500, 0.250) (multiplicity 1)
Rh (0.500, 0.500, 0.741) (multiplicity 1)

## Properties
density of states at the Fermi level	1.5	states/eV/f.u.
crystal system	tetragonal
ΔH_f (0 K)	-0.51	eV per atom
polymorph energy (0 for the lowest one)	0	meV/atom

=====

Compound: PmYRuRh
Source: the Alexandria database
Functional: GGA-PBE
Structure: optimized geometry

Unit cell a=6.929 b=6.929 c=6.929 alpha=90.00 beta=90.00 gamma=90.00
Space group F-43m (No. 216)
Asymmetric unit:
Pm (0.000, 0.000, 0.000) (multiplicity 4)
Y (0.000, 0.000, 0.500) (multiplicity 4)
Ru (0.250, 0.250, 0.750) (multiplicity 4)
Rh (0.250, 0.250, 0.250) (multiplicity 4)

## Properties
density of states at the Fermi level	2.8	states/eV/f.u.
crystal system	cubic
ΔH_f (0 K)	-0.49	eV per atom
polymorph energy (0 for the lowest one)	18	meV/atom

=====

Compound: PmZrRuRh
Source: the Alexandria database
Functional: GGA-PBE
Structure: optimized geometry

Unit cell a=6.784 b=6.784 c=6.784 alpha=90.00 beta=90.00 gamma=90.00
Space group F-43m (No. 216)
Asymmetric unit:
Pm (0.000, 0.000, 0.000) (multiplicity 4)
Zr (0.000, 0.000, 0.500) (multiplicity 4)
Ru (0.250, 0.250, 0.750) (multiplicity 4)
Rh (0.250, 0.250, 0.250) (multiplicity 4)

## Properties
density of states at the Fermi level	3.2	states/eV/f.u.
crystal system	cubic
ΔH_f (0 K)	-0.49	eV per atom

=====

Compound: Pm6RhS5
Source: the Alexandria database
Functional: GGA-PBE
Structure: optimized geometry

Unit cell a=7.053 b=12.176 c=7.021 alpha=90.00 beta=109.53 gamma=90.00
Space group C2/m (No. 12)
Asymmetric unit:
Pm (0.248, 0.166, 0.247) (multiplicity 8)
Pm (0.249, 0.000, 0.750) (multiplicity 4)
Rh (0.000, 0.000, 0.000) (multiplicity 2)
S (0.000, 0.170, 0.500) (multiplicity 4)
S (0.000, 0.334, 0.000) (multiplicity 4)
S (0.000, 0.500, 0.500) (multiplicity 2)

## Properties
density of states at the Fermi level	6.1	states/eV/f.u.
crystal system	monoclinic
formation energy (no corrections)	-21.58	eV per formula unit

=====

Compound: PmRhS
Source: the Alexandria database
Functional: GGA-PBE
Structure: optimized geometry

Unit cell a=4.1997 b=4.1997 c=3.7287 alpha=90.00 beta=90.00 gamma=120.00
Space group P3m1 (No. 156)
Asymmetric unit:
Pm (0.0000, 0.0000, 0.0000) (multiplicity 1)
Rh (0.6667, 0.3333, 0.5016) (multiplicity 1)
S (0.3333, 0.6667, 0.4984) (multiplicity 1)

## Properties
density of states at the Fermi level	0.4	states/eV/f.u.
crystal system	trigonal
formation energy (no corrections)	-3.81	eV per formula unit

=====

Compound: Pm7RhS5
Source: the Alexandria database
Functional: GGA-PBE
Structure: optimized geometry

Unit cell a=3.963 b=24.301 c=6.938 alpha=90.00 beta=106.53 gamma=90.00
Space group P2_1/m (No. 11)
Asymmetric unit:
Pm (0.040, 0.250, 0.080) (multiplicity 2)
Pm (0.138, 0.536, 0.277) (multiplicity 4)
Pm (0.305, 0.178, 0.610) (multiplicity 4)
Pm (0.412, 0.607, 0.825) (multiplicity 4)
Rh (0.305, 0.750, 0.611) (multiplicity 2)
S (0.050, 0.642, 0.101) (multiplicity 4)
S (0.225, 0.071, 0.449) (multiplicity 4)
S (0.500, 0.000, 0.000) (multiplicity 2)

## Properties
density of states at the Fermi level	8.4	states/eV/f.u.
crystal system	monoclinic
formation energy (no corrections)	-21.67	eV per formula unit

=====

Compound: Pm6Rh2S
Source: the Alexandria database
Functional: GGA-PBE
Structure: optimized geometry

Unit cell a=6.665 b=7.336 c=12.083 alpha=90.00 beta=121.41 gamma=90.00
Space group P2_1/c (No. 14)
Asymmetric unit:
Pm (0.086, 0.179, 0.426) (multiplicity 4)
Pm (0.245, 0.668, 0.427) (multiplicity 4)
Pm (0.401, 0.049, 0.248) (multiplicity 4)
Rh (0.185, 0.113, 0.740) (multiplicity 4)
S (0.500, 0.000, 0.500) (multiplicity 2)

## Properties
density of states at the Fermi level	9.0	states/eV/f.u.
crystal system	monoclinic
formation energy (no corrections)	-6.90	eV per formula unit

=====

Compound: Pm5RhS4
Source: the Alexandria database
Functional: GGA-PBE
Structure: optimized geometry

Unit cell a=4.053 b=4.053 c=28.774 alpha=90.00 beta=90.00 gamma=90.00
Space group I4/mmm (No. 139)
Asymmetric unit:
Pm (0.000, 0.000, 0.000) (multiplicity 2)
Pm (0.000, 0.000, 0.202) (multiplicity 4)
Pm (0.000, 0.000, 0.401) (multiplicity 4)
Rh (0.000, 0.000, 0.500) (multiplicity 2)
S (0.000, 0.000, 0.102) (multiplicity 4)
S (0.000, 0.000, 0.302) (multiplicity 4)

## Properties
density of states at the Fermi level	4.7	states/eV/f.u.
crystal system	tetragonal
formation energy (no corrections)	-17.35	eV per formula unit

=====

Compound: Pm3RhS2
Source: the Alexandria database
Functional: GGA-PBE
Structure: optimized geometry

Unit cell a=3.984 b=5.769 c=12.630 alpha=90.00 beta=90.00 gamma=90.00
Space group Immm (No. 71)
Asymmetric unit:
Pm (0.000, 0.000, 0.000) (multiplicity 2)
Pm (0.000, 0.000, 0.338) (multiplicity 4)
Rh (0.000, 0.500, 0.000) (multiplicity 2)
S (0.000, 0.500, 0.332) (multiplicity 4)

## Properties
density of states at the Fermi level	4.8	states/eV/f.u.
crystal system	orthorhombic
formation energy (no corrections)	-9.08	eV per formula unit

=====

Compound: Pm6Rh2Se3S
Source: the Alexandria database
Functional: GGA-PBE
Structure: optimized geometry

Unit cell a=18.453 b=4.081 c=8.546 alpha=90.00 beta=105.90 gamma=90.00
Space group C2/m (No. 12)
Asymmetric unit:
Pm (0.008, 0.000, 0.247) (multiplicity 4)
Pm (0.167, 0.500, 0.108) (multiplicity 4)
Pm (0.171, 0.500, 0.576) (multiplicity 4)
Rh (0.168, 0.000, 0.339) (multiplicity 4)
Se (0.000, 0.500, 0.500) (multiplicity 2)
Se (0.161, 0.000, 0.842) (multiplicity 4)
S (0.000, 0.500, 0.000) (multiplicity 2)

## Properties
density of states at the Fermi level	6.2	states/eV/f.u.
crystal system	monoclinic
formation energy (no corrections)	-17.58	eV per formula unit

=====

Compound: Pm6Rh2SeS3
Source: the Alexandria database
Functional: GGA-PBE
Structure: optimized geometry

Unit cell a=18.108 b=4.025 c=8.438 alpha=90.00 beta=105.48 gamma=90.00
Space group C2/m (No. 12)
Asymmetric unit:
Pm (0.006, 0.000, 0.264) (multiplicity 4)
Pm (0.168, 0.500, 0.585) (multiplicity 4)
Pm (0.173, 0.500, 0.103) (multiplicity 4)
Rh (0.170, 0.000, 0.341) (multiplicity 4)
Se (0.000, 0.500, 0.000) (multiplicity 2)
S (0.000, 0.500, 0.500) (multiplicity 2)
S (0.160, 0.000, 0.841) (multiplicity 4)

## Properties
density of states at the Fermi level	6.0	states/eV/f.u.
crystal system	monoclinic
formation energy (no corrections)	-18.06	eV per formula unit

=====

Compound: Pm6RhSe2S3
Source: the Alexandria database
Functional: GGA-PBE
Structure: optimized geometry

Unit cell a=17.998 b=4.061 c=8.314 alpha=90.00 beta=103.13 gamma=90.00
Space group C2/m (No. 12)
Asymmetric unit:
Pm (0.003, 0.000, 0.260) (multiplicity 4)
Pm (0.163, 0.500, 0.092) (multiplicity 4)
Pm (0.165, 0.500, 0.574) (multiplicity 4)
Rh (0.000, 0.500, 0.500) (multiplicity 2)
Se (0.168, 0.000, 0.836) (multiplicity 4)
S (0.000, 0.500, 0.000) (multiplicity 2)
S (0.169, 0.000, 0.334) (multiplicity 4)

## Properties
density of states at the Fermi level	5.2	states/eV/f.u.
crystal system	monoclinic
formation energy (no corrections)	-20.73	eV per formula unit

=====

Compound: Pm4Te2RhS
Source: the Alexandria database
Functional: GGA-PBE
Structure: optimized geometry

Unit cell a=7.433 b=4.186 c=7.633 alpha=90.00 beta=108.54 gamma=90.00
Space group P2/m (No. 10)
Asymmetric unit:
Pm (0.229, 0.000, 0.210) (multiplicity 2)
Pm (0.260, 0.500, 0.785) (multiplicity 2)
Te (0.000, 0.000, 0.500) (multiplicity 1)
Te (0.500, 0.500, 0.500) (multiplicity 1)
Rh (0.000, 0.500, 0.000) (multiplicity 1)
S (0.500, 0.000, 0.000) (multiplicity 1)

## Properties
density of states at the Fermi level	6.3	states/eV/f.u.
crystal system	monoclinic
formation energy (no corrections)	-10.96	eV per formula unit